Entry 1:
Here is a geometry-optimized BeTl2Ni structure from Alexandria. Energies are from PBE.

Results
Energy of formation: 2.4 eV per formula unit
Crystal system: monoclinic

abc: 3.295 3.412 6.820
angles: 71.92 90.00 90.00
Positions (direct):
Ni1 0.500 0.750 0.750
Be1 0.500 0.250 0.250
Tl1 0.000 0.040 0.996
Tl2 0.000 0.460 0.504


Entry 2:
Here is a geometry-optimized Be2TlNi2 structure from Alexandria. Energies are from PBE.

Results
Energy of formation: 0.5 eV per formula unit
Crystal system: tetragonal

abc: 6.685 6.685 2.789
angles: 90.00 90.00 90.00
Positions (direct):
Be1 0.866 0.366 0.500
Be2 0.366 0.134 0.500
Be3 0.134 0.634 0.500
Be4 0.634 0.866 0.500
Ni1 0.140 0.360 0.000
Ni2 0.360 0.860 0.000
Ni3 0.640 0.140 0.000
Ni4 0.860 0.640 0.000
Tl1 0.000 0.000 0.000
Tl2 0.500 0.500 0.000


Entry 3:
Here is a geometry-optimized BeTl2Ni structure from Alexandria. Energies are from PBE.

Results
Energy of formation: 2.4 eV per formula unit
Crystal system: tetragonal

abc: 3.426 3.424 6.097
angles: 90.00 90.00 90.00
Positions (direct):
Ni1 0.500 0.500 0.750
Tl1 0.000 0.000 0.998
Tl2 0.000 0.000 0.502
Be1 0.500 0.500 0.250


Entry 4:
Here is a geometry-optimized BeTl2Ni structure from Alexandria. Energies are from PBE.

Results
Energy of formation: 0.9 eV per formula unit
Crystal system: tetragonal

abc: 3.086 3.088 8.352
angles: 90.00 90.00 90.03
Positions (direct):
Tl1 0.000 0.000 0.929
Tl2 0.500 0.500 0.318
Be1 0.000 0.000 0.597
Ni1 0.500 0.500 0.656